# 1
The following is a PBE-GGA calculation of Pm2NdAu4 after structural relaxation, from the Alexandria database.

Cell: 5.3374 5.3374 7.5834 Å, 110.60 110.60 90.00°
Fractional coordinates of all 7 atoms:
Pm  0.7231  0.7231  0.4462
Pm  0.2769  0.2769  0.5538
Nd  0.0000  0.0000  0.0000
Au  0.3784  0.8784  0.7569
Au  0.8784  0.3784  0.7569
Au  0.6216  0.1216  0.2431
Au  0.1216  0.6216  0.2431

Summary:
For the density, the calculation gives 10.830 g cm⁻³. For the spin magnetization, the calculation gives 0.00 Bohr magnetons per cell. Its formation energy is -15.03 kcal/mol of atoms. The calculation puts the distance to the lowest polymorph of the same formula at 0 meV per atom. The calculation puts the total energy at -4.56 eV per atom.

# 2
The following is a PBE-GGA calculation of Ta2InBr after structural relaxation, from the Alexandria database.

Cell: 5.3280 5.3280 5.3280 Å, 132.64 132.64 69.22°
Fractional coordinates of all 4 atoms:
In  0.7500  0.2500  0.5000
Br  0.5000  0.5000  0.0000
Ta  0.0000  0.0000  0.0000
Ta  0.2500  0.7500  0.5000

Summary:
For the density, the calculation gives 11.508 g cm⁻³. For the spin magnetization, the calculation gives 0.00 Bohr magnetons per cell. The calculation puts the distance to the lowest polymorph of the same formula at 724 meV per atom. The uncorrected formation energy is 0.80 eV/atom. The calculation puts the total energy at -6.23 eV per atom.

# 3
The following is a PBE-GGA calculation of BaCaO2F after structural relaxation, from the Alexandria database.

Cell: 4.8403 4.8403 4.8333 Å, 90.00 90.00 90.00°
Last column: magnetic moment on the atom in μB.
Fractional coordinates of all 5 atoms:
Ca  0.5000  0.5000  0.5000  -0.01
Ba  0.0000  0.0000  0.0000  0.12
O  0.0000  0.5000  0.0000  0.40
O  0.5000  0.0000  0.0000  0.40
F  0.0000  0.0000  0.5000  0.00

Summary:
For the density, the calculation gives 3.349 g cm⁻³. For the spin magnetization, the calculation gives 1.00 Bohr magnetons per cell. The uncorrected formation energy is -1.81 eV/atom. The calculation puts the total energy at -4.95 eV per atom.

# 4
The following is a PBE-GGA calculation of K2SrAg2 after structural relaxation, from the Alexandria database.

Cell: 4.8733 4.8733 8.4814 Å, 73.30 73.30 90.00°
Fractional coordinates of all 5 atoms:
Sr  0.0000  0.0000  0.0000
K  0.7500  0.2500  0.5000
K  0.2500  0.7500  0.5000
Ag  0.4121  0.4121  0.1757
Ag  0.5879  0.5879  0.8243

Summary:
For the density, the calculation gives 3.442 g cm⁻³. For the spin magnetization, the calculation gives 0.00 Bohr magnetons per cell. Its formation energy is 0.81 kcal/mol of atoms. The calculation puts the distance to the lowest polymorph of the same formula at 25 meV per atom. The calculation puts the total energy at -1.88 eV per atom.

# 5
The following is a PBE-GGA calculation of Mg2CdW2 after structural relaxation, from the Alexandria database.

Cell: 3.8475 3.8475 7.2988 Å, 74.72 74.72 90.00°
Fractional coordinates of all 5 atoms:
Mg  0.7500  0.2500  0.5000
Mg  0.2500  0.7500  0.5000
W  0.4139  0.4139  0.1722
W  0.5861  0.5861  0.8278
Cd  0.0000  0.0000  0.0000

Summary:
For the density, the calculation gives 8.756 g cm⁻³. For the spin magnetization, the calculation gives 0.00 Bohr magnetons per cell. Its formation energy is 24.72 kcal/mol of atoms. The calculation puts the distance to the lowest polymorph of the same formula at 372 meV per atom. The calculation puts the total energy at -4.93 eV per atom.

# 6
The following is a PBE-GGA calculation of CrP2PbS after structural relaxation, from the Alexandria database.

Cell: 5.0392 5.0392 5.0698 Å, 90.00 90.00 90.00°
Last column: magnetic moment on the atom in μB.
Fractional coordinates of all 5 atoms:
Pb  0.0000  0.0000  0.0000  0.01
Cr  0.5000  0.5000  0.5000  -4.08
S  0.0000  0.0000  0.5000  0.19
P  0.0000  0.5000  0.0000  0.35
P  0.5000  0.0000  0.0000  0.35

Summary:
For the density, the calculation gives 4.556 g cm⁻³. For the spin magnetization, the calculation gives 2.83 Bohr magnetons per cell. The calculation puts the distance to the lowest polymorph of the same formula at 1239 meV per atom. The uncorrected formation energy is 1.40 eV/atom. The calculation puts the total energy at -4.26 eV per atom.